A plane-wave DFT calculation with GGA-PBE was carried out for crystalline CuTe at its relaxed geometry.

Structure (CIF):
```
data_CuTe
_symmetry_space_group_name_H-M 'P 1'
_symmetry_Int_Tables_number 1
_symmetry_space_group_name_Hall 'P 1'
_cell_length_a 7.1852
_cell_length_b 7.1852
_cell_length_c 3.1566
_cell_angle_alpha 90.00
_cell_angle_beta 90.00
_cell_angle_gamma 120.00
loop_
_atom_site_label
_atom_site_fract_x
_atom_site_fract_y
_atom_site_fract_z
_atom_site_occupancy
Cu1 0.0000 0.0000 0.0000 1
Cu2 0.3333 0.6667 0.5000 1
Cu3 0.6667 0.3333 0.5000 1
Te1 0.0000 0.3542 0.0000 1
Te2 0.3542 0.0000 0.0000 1
Te3 0.6458 0.6458 0.0000 1
```

Properties
Raw formation energy in eV per atom: 0.11
Total DFT energy (no corrections) in eV/atom: -3.5132
Symmetry: P-62m (189)